PaNbV2O8: optimized geometry, GGA+U.

a b c (Å): 4.7450 4.7456 6.6257
angles (deg): 89.27 89.27 90.25
With the nearest neighbours (Å) after each atom.
Sites, in units of the cell vectors:
O: 0.1985 0.8030 0.7700  1 Nb 2.02, 1 V 2.03, 1 Pa 2.23
O: 0.3125 0.3128 0.4942  2 V 2.09-2.18, 1 Pa 2.09
O: 0.6875 0.6872 0.5058  2 V 2.09-2.18, 1 Pa 2.09
O: 0.3010 0.3012 0.9956  1 Nb 2.02, 2 V 2.02-2.11
O: 0.8027 0.1982 0.7700  1 Nb 2.02, 1 V 2.03, 1 Pa 2.23
O: 0.8015 0.1970 0.2300  1 Nb 2.02, 1 V 2.03, 1 Pa 2.23
O: 0.1973 0.8018 0.2300  1 Nb 2.02, 1 V 2.03, 1 Pa 2.23
O: 0.6990 0.6988 0.0044  1 Nb 2.02, 2 V 2.02-2.11
V: 0.4990 0.4991 0.7615  6 O 2.02-2.18
V: 0.5010 0.5009 0.2385  6 O 2.02-2.18
Pa: 0.0000 0.0000 0.5000  6 O 2.09-2.23
Nb: 0.0000 0.0000 0.0000  6 O 2.02

Summary:
The density comes out at 6.16 g/cm3. The magnetization is 0.333 μB/atom. The value obtained for the total energy is -105.70 eV for the cell shown.